VASP calculation (SCAN) on a PBEsol-optimized structure of LiBe3Cu.

abc: 4.0450 4.0450 4.0450
angles: 90.00 90.00 90.00
Positions (direct):
1 Li 0.0000 0.0000 0.0000
2 Be 0.0000 0.5000 0.5000
3 Be 0.5000 0.0000 0.5000
4 Be 0.5000 0.5000 0.0000
5 Cu 0.5000 0.5000 0.5000

Properties
Final energy = -5.6986 eV/atom
SG = Pm-3m
Formation energy from the elements = 0.431 eV/atom